No. 1
Entry from the Alexandria database: a geometry-optimized TlP4Rh structure (PBE).

```
data_TlP4Rh
_chemical_formula_sum 'Tl4 P16 Rh4'
_cell_length_a 7.686
_cell_length_b 7.686
_cell_length_c 7.686
_cell_angle_alpha 90.00
_cell_angle_beta 90.00
_cell_angle_gamma 90.00
_symmetry_space_group_name_H-M 'F -4 3 m'
_symmetry_Int_Tables_number 216
_symmetry_space_group_name_Hall 'F -4 2 3'
loop_
_atom_site_label
_atom_site_type_symbol
_atom_site_fract_x
_atom_site_fract_y
_atom_site_fract_z
_atom_site_occupancy
Tl1 Tl 0.000 0.000 0.000 1
P1 P 0.144 0.144 0.644 1
Rh1 Rh 0.250 0.250 0.250 1
```

Summary:
The raw total energy comes out at -4.607 eV/atom. The value obtained for the energy relative to the elements is 0.619 eV/atom.

=====

No. 2
Entry from the Alexandria database: a geometry-optimized Cs2LaPbO4 structure (PBE).

```
data_Cs2LaPbO4
_chemical_formula_sum 'Cs4 La2 Pb2 O8'
_cell_length_a 9.347
_cell_length_b 9.638
_cell_length_c 6.618
_cell_angle_alpha 90.00
_cell_angle_beta 134.90
_cell_angle_gamma 90.00
_symmetry_space_group_name_H-M 'C 1 2 1'
_symmetry_Int_Tables_number 5
_symmetry_space_group_name_Hall 'C 2y'
loop_
_atom_site_label
_atom_site_type_symbol
_atom_site_fract_x
_atom_site_fract_y
_atom_site_fract_z
_atom_site_occupancy
Cs1 Cs 0.000 0.000 0.000 1
Cs2 Cs 0.000 0.250 0.500 1
La1 La 0.000 0.499 0.000 1
Pb1 Pb 0.000 0.750 0.500 1
O1 O 0.149 0.625 0.400 1
O2 O 0.249 0.873 0.898 1
```

Summary:
As for the uncorrected formation energy: -1.792 eV/atom. The raw total energy comes out at -5.564 eV/atom.

=====

No. 3
Entry from the Alexandria database: a geometry-optimized AcInRh structure (PBE).

```
data_AcInRh
_chemical_formula_sum 'Ac4 In4 Rh4'
_cell_length_a 6.978
_cell_length_b 6.978
_cell_length_c 6.978
_cell_angle_alpha 90.00
_cell_angle_beta 90.00
_cell_angle_gamma 90.00
_symmetry_space_group_name_H-M 'F -4 3 m'
_symmetry_Int_Tables_number 216
_symmetry_space_group_name_Hall 'F -4 2 3'
loop_
_atom_site_label
_atom_site_type_symbol
_atom_site_fract_x
_atom_site_fract_y
_atom_site_fract_z
_atom_site_occupancy
Ac1 Ac 0.000 0.000 0.000 1
In1 In 0.000 0.000 0.500 1
Rh1 Rh 0.250 0.250 0.250 1
```

Summary:
The raw total energy comes out at -5.247 eV/atom. The value obtained for the energy relative to the elements is -0.515 eV/atom. Its offset from the most stable computed form is 160.8 meV/atom.